# Nd3YTm3 PBE relaxed
data_Nd3YTm3
_chemical_formula_sum 'Nd18 Y6 Tm18'
_cell_length_a 6.1961
_cell_length_b 6.1961
_cell_length_c 43.3206
_cell_angle_alpha 90.00
_cell_angle_beta 90.00
_cell_angle_gamma 120.00
_symmetry_space_group_name_H-M 'R -3'
_symmetry_Int_Tables_number 148
_symmetry_space_group_name_Hall '-R 3'
loop_
_atom_site_label
_atom_site_type_symbol
_atom_site_fract_x
_atom_site_fract_y
_atom_site_fract_z
Nd1 Nd 0.0003 0.3309 0.1305
Y1 Y 0.0000 0.0000 0.3333
Tm1 Tm 0.0000 0.3332 0.2686
# VASP energy = -4.71 eV per atom
# Formation energy = 175 meV per atom
# Calculated volume = 34.29 Å³ per atom
# Crystal system = trigonal
# Energy relative to the lowest polymorph listed for this composition = 0.1559 eV/atom

---

# Nd12Y5Tm2 PBE relaxed
data_Nd12Y5Tm2
_chemical_formula_sum 'Nd24 Y10 Tm4'
_cell_length_a 22.449
_cell_length_b 7.142
_cell_length_c 8.795
_cell_angle_alpha 90.00
_cell_angle_beta 110.43
_cell_angle_gamma 90.00
_symmetry_space_group_name_H-M 'C 1 2/m 1'
_symmetry_Int_Tables_number 12
loop_
_symmetry_equiv_pos_as_xyz
'x,y,z'
'-x,-y,-z'
'-x,y,-z'
'x,-y,z'
'x+1/2,y+1/2,z'
'-x+1/2,-y+1/2,-z'
'-x+1/2,y+1/2,-z'
'x+1/2,-y+1/2,z'
loop_
_atom_site_label
_atom_site_type_symbol
_atom_site_fract_x
_atom_site_fract_y
_atom_site_fract_z
Nd1 Nd 0.048 0.000 0.195
Nd2 Nd 0.106 0.243 0.885
Nd3 Nd 0.142 0.500 0.558
Nd4 Nd 0.200 0.247 0.294
Y1 Y 0.000 0.500 0.000
Y2 Y 0.149 0.000 0.597
Y3 Y 0.249 0.500 0.991
Tm1 Tm 0.000 0.242 0.500
# VASP energy = -5.05 eV per atom
# Formation energy = 135 meV per atom
# Calculated volume = 34.78 Å³ per atom
# Crystal system = monoclinic
# Energy relative to the lowest polymorph listed for this composition = 0.0257 eV/atom

---

# Nd2Y7Tm2 PBE relaxed
data_Nd2Y7Tm2
_chemical_formula_sum 'Nd4 Y14 Tm4'
_cell_length_a 11.184
_cell_length_b 11.680
_cell_length_c 6.066
_cell_angle_alpha 90.00
_cell_angle_beta 113.13
_cell_angle_gamma 90.00
_symmetry_space_group_name_H-M 'C 1 2/m 1'
_symmetry_Int_Tables_number 12
loop_
_symmetry_equiv_pos_as_xyz
'x,y,z'
'-x,-y,-z'
'-x,y,-z'
'x,-y,z'
'x+1/2,y+1/2,z'
'-x+1/2,-y+1/2,-z'
'-x+1/2,y+1/2,-z'
'x+1/2,-y+1/2,z'
loop_
_atom_site_label
_atom_site_type_symbol
_atom_site_fract_x
_atom_site_fract_y
_atom_site_fract_z
Nd1 Nd 0.000 0.210 0.000
Y1 Y 0.000 0.000 0.500
Y2 Y 0.092 0.500 0.307
Y3 Y 0.173 0.238 0.677
Tm1 Tm 0.233 0.000 0.082
# VASP energy = -5.63 eV per atom
# Formation energy = 160 meV per atom
# Calculated volume = 33.13 Å³ per atom
# Crystal system = monoclinic
# Energy relative to the lowest polymorph listed for this composition = 0.0000 eV/atom

---

# Nd2Y6Tm3 PBE relaxed
data_Nd2Y6Tm3
_chemical_formula_sum 'Nd4 Y12 Tm6'
_cell_length_a 4.732
_cell_length_b 4.732
_cell_length_c 33.451
_cell_angle_alpha 90.00
_cell_angle_beta 90.00
_cell_angle_gamma 90.00
_symmetry_space_group_name_H-M 'I 4/m m m'
_symmetry_Int_Tables_number 139
_symmetry_space_group_name_Hall '-I 4 2'
loop_
_atom_site_label
_atom_site_type_symbol
_atom_site_fract_x
_atom_site_fract_y
_atom_site_fract_z
Nd1 Nd 0.000 0.000 0.045
Y1 Y 0.000 0.000 0.199
Y2 Y 0.000 0.500 0.122
Tm1 Tm 0.000 0.000 0.301
Tm2 Tm 0.000 0.000 0.500
# VASP energy = -5.32 eV per atom
# Formation energy = 288 meV per atom
# Calculated volume = 34.05 Å³ per atom
# Crystal system = tetragonal
# Energy relative to the lowest polymorph listed for this composition = 0.0991 eV/atom

---

formation energy of number 3 (Nd2Y7Tm2)? 160 meV per atom